The following is a PBE-GGA calculation of a relaxed RbAs2I8 crystal, from Alexandria.

Lattice parameters (Å, degrees): 7.063 10.008 10.008 76.47 79.17 79.17
Fractional coordinates of all 11 atoms:
I: 0.263 0.957 0.305
I: 0.263 0.305 0.957
I: 0.678 0.238 0.238
I: 0.925 0.604 0.604
I: 0.075 0.396 0.396
I: 0.322 0.762 0.762
I: 0.737 0.043 0.695
I: 0.737 0.695 0.043
As: 0.691 0.774 0.774
As: 0.309 0.226 0.226
Rb: 0.000 0.000 0.000

Values from the calculation:
The calculated total energy is -2.397 eV/atom. The space group is C2/m, No. 12. The calculation puts the spin magnetization at 0.00 Bohr magnetons per cell.

=====

The following is a PBE-GGA calculation of a relaxed Rb2AsI4 crystal, from Alexandria.

Lattice parameters (Å, degrees): 5.966 5.966 10.018 72.68 72.68 90.00
Fractional coordinates of all 7 atoms:
I: 0.840 0.840 0.321
I: 0.500 0.000 0.000
I: 0.000 0.500 0.000
I: 0.160 0.160 0.679
As: 0.000 0.000 0.000
Rb: 0.365 0.365 0.269
Rb: 0.635 0.635 0.731

Values from the calculation:
As for the relative energy among the computed polymorphs: 0 meV/atom. The calculated total energy is -2.667 eV/atom. The space group is I4/mmm, No. 139. The calculation puts the spin magnetization at 0.24 Bohr magnetons per cell.

=====

The following is a PBE-GGA calculation of a relaxed RbAsI5 crystal, from Alexandria.

Lattice parameters (Å, degrees): 8.512 8.512 11.353 97.39 97.39 61.14
Fractional coordinates of all 14 atoms:
I: 0.074 0.926 0.750
I: 0.926 0.074 0.250
I: 0.149 0.618 0.454
I: 0.851 0.382 0.546
I: 0.618 0.149 0.954
I: 0.382 0.851 0.046
I: 0.929 0.368 0.001
I: 0.632 0.071 0.499
I: 0.071 0.632 0.999
I: 0.368 0.929 0.501
Rb: 0.500 0.500 0.750
Rb: 0.500 0.500 0.250
As: 0.000 0.000 0.500
As: 0.000 0.000 0.000

Values from the calculation:
The calculated total energy is -2.339 eV/atom. The space group is C2/c, No. 15. The calculation puts the spin magnetization at 0.00 Bohr magnetons per cell.

=====

The following is a PBE-GGA calculation of a relaxed RbAs2I crystal, from Alexandria.

Lattice parameters (Å, degrees): 9.139 9.139 7.205 50.64 50.64 90.00
Fractional coordinates of all 8 atoms:
I: 0.750 0.250 0.500
I: 0.000 0.000 0.000
As: 0.085 0.625 0.250
As: 0.665 0.125 0.250
As: 0.375 0.335 0.750
As: 0.875 0.915 0.750
Rb: 0.250 0.750 0.500
Rb: 0.500 0.500 0.000

Values from the calculation:
As for the relative energy among the computed polymorphs: 0 meV/atom. The calculated total energy is -2.599 eV/atom. The space group is I-42d, No. 122. The calculation puts the spin magnetization at 0.00 Bohr magnetons per cell.

=====

The following is a PBE-GGA calculation of a relaxed Rb2AsI7 crystal, from Alexandria.

Lattice parameters (Å, degrees): 8.838 8.838 8.652 59.29 59.29 90.00
Fractional coordinates of all 10 atoms:
I: 0.738 0.738 0.523
I: 0.000 0.000 0.000
I: 0.730 0.730 0.000
I: 0.270 0.270 0.000
I: 0.270 0.730 0.000
I: 0.730 0.270 0.000
I: 0.262 0.262 0.477
Rb: 0.250 0.750 0.500
Rb: 0.750 0.250 0.500
As: 0.500 0.500 0.000

Values from the calculation:
The calculated total energy is -2.331 eV/atom. The space group is I4/mmm, No. 139. The calculation puts the spin magnetization at 0.00 Bohr magnetons per cell.

=====

The following is a PBE-GGA calculation of a relaxed Rb3AsI crystal, from Alexandria.

Lattice parameters (Å, degrees): 4.979 9.475 12.058 78.81 90.00 74.77
Fractional coordinates of all 10 atoms:
Rb: 0.228 0.113 0.956
Rb: 0.975 0.618 0.405
Rb: 0.461 0.647 0.103
Rb: 0.253 0.061 0.287
Rb: 0.435 0.699 0.772
Rb: 0.713 0.142 0.654
As: 0.860 0.849 0.934
As: 0.828 0.912 0.125
I: 0.614 0.341 0.352
I: 0.074 0.420 0.707

Values from the calculation:
As for the relative energy among the computed polymorphs: 0 meV/atom. The calculated total energy is -2.541 eV/atom. The space group is C2/m, No. 12. The calculation puts the spin magnetization at 0.00 Bohr magnetons per cell.

=====

The following is a PBE-GGA calculation of a relaxed Rb12As5I3 crystal, from Alexandria.

Lattice parameters (Å, degrees): 18.259 18.259 18.259 109.47 109.47 109.47
Fractional coordinates of all 80 atoms:
Rb: 0.709 0.119 0.036
Rb: 0.590 0.881 0.417
Rb: 0.709 0.590 0.173
Rb: 0.827 0.910 0.291
Rb: 0.619 0.036 0.209
Rb: 0.583 0.964 0.673
Rb: 0.327 0.791 0.410
Rb: 0.410 0.291 0.327
Rb: 0.083 0.173 0.464
Rb: 0.673 0.464 0.583
Rb: 0.119 0.709 0.536
Rb: 0.964 0.381 0.291
Rb: 0.910 0.083 0.619
Rb: 0.083 0.910 0.119
Rb: 0.036 0.619 0.709
Rb: 0.209 0.536 0.619
Rb: 0.036 0.417 0.827
Rb: 0.881 0.291 0.464
Rb: 0.619 0.583 0.910
Rb: 0.173 0.083 0.964
Rb: 0.464 0.791 0.881
Rb: 0.917 0.090 0.881
Rb: 0.291 0.410 0.827
Rb: 0.410 0.119 0.583
Rb: 0.536 0.209 0.119
Rb: 0.090 0.917 0.381
Rb: 0.464 0.673 0.083
Rb: 0.173 0.090 0.709
Rb: 0.827 0.917 0.036
Rb: 0.119 0.410 0.083
Rb: 0.583 0.619 0.410
Rb: 0.910 0.827 0.791
Rb: 0.917 0.827 0.536
Rb: 0.881 0.590 0.917
Rb: 0.381 0.417 0.090
Rb: 0.090 0.173 0.209
Rb: 0.327 0.536 0.417
Rb: 0.209 0.673 0.090
Rb: 0.417 0.381 0.590
Rb: 0.791 0.464 0.381
Rb: 0.536 0.327 0.917
Rb: 0.673 0.209 0.590
Rb: 0.381 0.964 0.791
Rb: 0.590 0.709 0.673
Rb: 0.291 0.881 0.964
Rb: 0.417 0.036 0.327
Rb: 0.964 0.583 0.173
Rb: 0.791 0.327 0.910
As: 0.750 0.625 0.375
As: 0.000 0.000 0.000
As: 0.125 0.375 0.250
As: 0.500 0.000 0.000
As: 0.250 0.375 0.625
As: 0.500 0.500 0.000
As: 0.875 0.625 0.750
As: 0.375 0.125 0.750
As: 0.250 0.875 0.125
As: 0.500 0.000 0.500
As: 0.000 0.500 0.500
As: 0.750 0.125 0.875
As: 0.000 0.000 0.500
As: 0.625 0.750 0.875
As: 0.125 0.750 0.375
As: 0.000 0.500 0.000
As: 0.375 0.250 0.125
As: 0.875 0.250 0.625
As: 0.625 0.875 0.250
As: 0.500 0.500 0.500
I: 0.250 0.625 0.875
I: 0.875 0.125 0.250
I: 0.125 0.875 0.750
I: 0.625 0.250 0.375
I: 0.875 0.750 0.125
I: 0.125 0.250 0.875
I: 0.625 0.375 0.750
I: 0.250 0.125 0.375
I: 0.375 0.625 0.250
I: 0.750 0.875 0.625
I: 0.750 0.375 0.125
I: 0.375 0.750 0.625

Values from the calculation:
The calculated total energy is -2.367 eV/atom. The space group is Ia-3d, No. 230. The calculation puts the spin magnetization at 24.06 Bohr magnetons per cell.

=====

The following is a PBE-GGA calculation of a relaxed RbAs2I crystal, from Alexandria.

Lattice parameters (Å, degrees): 5.516 5.516 5.516 60.00 60.00 60.00
Fractional coordinates of all 4 atoms:
As: 0.250 0.250 0.250
As: 0.750 0.750 0.750
I: 0.500 0.500 0.500
Rb: 0.000 0.000 0.000

Values from the calculation:
As for the relative energy among the computed polymorphs: 230 meV/atom. The calculated total energy is -2.369 eV/atom. The space group is Fm-3m, No. 225. The calculation puts the spin magnetization at 0.00 Bohr magnetons per cell.

=====

The following is a PBE-GGA calculation of a relaxed Rb2AsI4 crystal, from Alexandria.

Lattice parameters (Å, degrees): 8.526 8.526 7.730 123.47 123.47 90.00
Fractional coordinates of all 7 atoms:
I: 0.262 0.262 0.000
I: 0.739 0.739 0.000
I: 0.261 0.738 0.000
I: 0.738 0.261 0.000
As: 0.500 0.500 0.000
Rb: 0.250 0.750 0.500
Rb: 0.750 0.250 0.500

Values from the calculation:
As for the relative energy among the computed polymorphs: 8 meV/atom. The calculated total energy is -2.659 eV/atom. The space group is I4/mmm, No. 139. The calculation puts the spin magnetization at 1.00 Bohr magnetons per cell.

=====

The following is a PBE-GGA calculation of a relaxed Rb2AsI6 crystal, from Alexandria.

Lattice parameters (Å, degrees): 8.187 8.187 8.187 60.00 60.00 60.00
Fractional coordinates of all 9 atoms:
I: 0.754 0.754 0.246
I: 0.246 0.246 0.754
I: 0.754 0.246 0.246
I: 0.754 0.246 0.754
I: 0.246 0.754 0.754
I: 0.246 0.754 0.246
As: 0.000 0.000 0.000
Rb: 0.250 0.250 0.250
Rb: 0.750 0.750 0.750

Values from the calculation:
As for the relative energy among the computed polymorphs: 0 meV/atom. The calculated total energy is -2.459 eV/atom. The space group is Fm-3m, No. 225. The calculation puts the spin magnetization at 0.00 Bohr magnetons per cell.

=====

The following is a PBE-GGA calculation of a relaxed RbAsI4 crystal, from Alexandria.

Lattice parameters (Å, degrees): 7.599 9.925 9.925 112.63 94.44 94.44
Fractional coordinates of all 12 atoms:
As: 0.250 0.068 0.432
As: 0.750 0.932 0.568
Rb: 0.250 0.741 0.759
Rb: 0.750 0.259 0.241
I: 0.098 0.086 0.710
I: 0.598 0.210 0.586
I: 0.163 0.351 0.478
I: 0.837 0.649 0.522
I: 0.337 0.022 0.149
I: 0.902 0.914 0.290
I: 0.663 0.978 0.851
I: 0.402 0.790 0.414

Values from the calculation:
As for the relative energy among the computed polymorphs: 0 meV/atom. The calculated total energy is -2.568 eV/atom. The space group is C2/c, No. 15. The calculation puts the spin magnetization at 0.00 Bohr magnetons per cell.

=====

The following is a PBE-GGA calculation of a relaxed RbAsI4 crystal, from Alexandria.

Lattice parameters (Å, degrees): 9.247 7.499 9.627 105.91 112.75 103.91
Fractional coordinates of all 12 atoms:
I: 0.360 0.167 0.901
I: 0.148 0.957 0.391
I: 0.257 0.566 0.609
I: 0.041 0.734 0.901
I: 0.640 0.833 0.099
I: 0.743 0.434 0.391
I: 0.852 0.043 0.609
I: 0.959 0.266 0.099
Rb: 0.614 0.364 0.728
Rb: 0.386 0.636 0.272
As: 0.082 0.832 0.665
As: 0.918 0.168 0.335

Values from the calculation:
As for the relative energy among the computed polymorphs: 10 meV/atom. The calculated total energy is -2.558 eV/atom. The space group is C2/c, No. 15. The calculation puts the spin magnetization at 0.00 Bohr magnetons per cell.

=====

no.,ΔE_f (raw) (meV per atom)
1,-336
2,-840
3,-429
4,356
5,-587
6,-720
7,-391
8,585
9,-833
10,-694
11,-598
12,-588